Record 1
Density functional theory data (PBE-GGA) for a relaxed structure of TcAg2Se.

Calculated values
DOS at the Fermi energy = 2.81 states/eV/cell
formation energy without anion corrections = 0.533 eV/atom

a b c (Å): 3.900 3.900 4.735
angles (deg): 90.00 90.00 90.00
Space group P4/mmm (No. 123)
Asymmetric unit:
Tc 0.000 0.000 0.000 (multiplicity 1)
Ag 0.000 0.500 0.500 (multiplicity 2)
Se 0.500 0.500 0.000 (multiplicity 1)

Record 2
Density functional theory data (PBE-GGA) for a relaxed structure of TcAgSe2.

Calculated values
DOS at the Fermi energy = 4.04 states/eV/cell
formation energy without anion corrections = -0.156 eV/atom

a b c (Å): 6.097 3.306 8.017
angles (deg): 90.00 104.81 90.00
Space group P2_1/m (No. 11)
Asymmetric unit:
Tc 0.195 0.250 0.497 (multiplicity 2)
Ag 0.314 0.750 0.015 (multiplicity 2)
Se 0.003 0.250 0.734 (multiplicity 2)
Se 0.487 0.750 0.670 (multiplicity 2)

Record 3
Density functional theory data (PBE-GGA) for a relaxed structure of Tc4AgSe.

Calculated values
DOS at the Fermi energy = 24.86 states/eV/cell
formation energy without anion corrections = 0.697 eV/atom

a b c (Å): 7.360 7.360 7.360
angles (deg): 90.00 90.00 90.00
Space group F-43m (No. 216)
Asymmetric unit:
Tc 0.125 0.125 0.125 (multiplicity 16)
Ag 0.250 0.250 0.750 (multiplicity 4)
Se 0.000 0.000 0.500 (multiplicity 4)

Record 4
Density functional theory data (PBE-GGA) for a relaxed structure of TcAgSe2.

Calculated values
DOS at the Fermi energy = 5.60 states/eV/cell
formation energy without anion corrections = -0.154 eV/atom

a b c (Å): 3.235 6.923 7.957
angles (deg): 92.18 101.33 103.25
Space group P-1 (No. 2)
Asymmetric unit:
Tc 0.236 0.104 0.368 (multiplicity 2)
Ag 0.000 0.000 0.000 (multiplicity 1)
Ag 0.000 0.500 0.500 (multiplicity 1)
Se 0.248 0.700 0.800 (multiplicity 2)
Se 0.427 0.176 0.687 (multiplicity 2)

Record 5
Density functional theory data (PBE-GGA) for a relaxed structure of TcAg2Se.

Calculated values
DOS at the Fermi energy = 5.34 states/eV/cell
formation energy without anion corrections = 0.474 eV/atom

a b c (Å): 11.020 3.072 4.521
angles (deg): 90.00 113.98 90.00
Space group C2/m (No. 12)
Asymmetric unit:
Tc 0.000 0.000 0.000 (multiplicity 2)
Ag 0.243 0.000 0.743 (multiplicity 4)
Se 0.000 0.500 0.500 (multiplicity 2)

Record 6
Density functional theory data (PBE-GGA) for a relaxed structure of TcAgSe2.

Calculated values
DOS at the Fermi energy = 0.25 states/eV/cell
formation energy without anion corrections = -0.122 eV/atom

a b c (Å): 4.416 6.527 7.304
angles (deg): 76.98 77.52 88.64
Space group P1 (No. 1)
Asymmetric unit:
Tc 0.000 0.000 0.000 (multiplicity 1)
Tc 0.356 0.110 0.137 (multiplicity 1)
Ag 0.292 0.560 0.122 (multiplicity 1)
Ag 0.520 0.131 0.643 (multiplicity 1)
Se 0.098 0.239 0.412 (multiplicity 1)
Se 0.206 0.771 0.791 (multiplicity 1)
Se 0.625 0.805 0.276 (multiplicity 1)
Se 0.743 0.322 0.881 (multiplicity 1)

Record 7
Density functional theory data (PBE-GGA) for a relaxed structure of TcAgSe2.

Calculated values
DOS at the Fermi energy = 0.00 states/eV/cell
formation energy without anion corrections = -0.076 eV/atom

a b c (Å): 5.423 13.834 5.392
angles (deg): 90.00 117.43 90.00
Space group C2/c (No. 15)
Asymmetric unit:
Tc 0.000 0.249 0.250 (multiplicity 4)
Ag 0.000 0.328 0.750 (multiplicity 4)
Se 0.153 0.120 0.606 (multiplicity 8)

Record 8
Density functional theory data (PBE-GGA) for a relaxed structure of TcAgSe2.

Calculated values
DOS at the Fermi energy = 45.31 states/eV/cell
formation energy without anion corrections = -0.068 eV/atom

a b c (Å): 9.632 11.573 13.404
angles (deg): 90.00 90.69 90.00
Space group C2/c (No. 15)
Asymmetric unit:
Tc 0.084 0.202 0.174 (multiplicity 8)
Tc 0.110 0.364 0.309 (multiplicity 8)
Ag 0.046 0.085 0.928 (multiplicity 8)
Ag 0.147 0.435 0.083 (multiplicity 8)
Se 0.000 0.027 0.250 (multiplicity 4)
Se 0.000 0.457 0.750 (multiplicity 4)
Se 0.050 0.279 0.471 (multiplicity 8)
Se 0.191 0.217 0.781 (multiplicity 8)
Se 0.222 0.017 0.081 (multiplicity 8)

Record 9
Density functional theory data (PBE-GGA) for a relaxed structure of Tc2AgSe.

Calculated values
DOS at the Fermi energy = 3.41 states/eV/cell
formation energy without anion corrections = 0.212 eV/atom

a b c (Å): 2.906 2.906 8.117
angles (deg): 90.00 90.00 90.00
Space group P4mm (No. 99)
Asymmetric unit:
Tc 0.000 0.000 0.000 (multiplicity 1)
Tc 0.500 0.500 0.209 (multiplicity 1)
Ag 0.000 0.000 0.467 (multiplicity 1)
Se 0.500 0.500 0.799 (multiplicity 1)

Record 10
Density functional theory data (PBE-GGA) for a relaxed structure of Tc2AgSe.

Calculated values
DOS at the Fermi energy = 3.96 states/eV/cell
formation energy without anion corrections = 0.725 eV/atom

a b c (Å): 3.129 4.453 4.673
angles (deg): 90.00 90.00 90.00
Space group Pmmm (No. 47)
Asymmetric unit:
Tc 0.000 0.000 0.000 (multiplicity 1)
Tc 0.500 0.500 0.000 (multiplicity 1)
Ag 0.000 0.500 0.500 (multiplicity 1)
Se 0.500 0.000 0.500 (multiplicity 1)

Record 11
Density functional theory data (PBE-GGA) for a relaxed structure of TcAgSe2.

Calculated values
DOS at the Fermi energy = 10.75 states/eV/cell
formation energy without anion corrections = 0.431 eV/atom

a b c (Å): 2.8426 2.8426 34.5296
angles (deg): 90.00 90.00 120.00
Space group R-3m (No. 166, hexagonal axes)
Asymmetric unit:
Tc 0.0000 0.0000 0.0000 (multiplicity 3)
Ag 0.0000 0.0000 0.5000 (multiplicity 3)
Se 0.0000 0.0000 0.0716 (multiplicity 6)

Record 12
Density functional theory data (PBE-GGA) for a relaxed structure of TcAgSe2.

Calculated values
DOS at the Fermi energy = 32.89 states/eV/cell
formation energy without anion corrections = -0.065 eV/atom

a b c (Å): 9.008 10.806 13.354
angles (deg): 90.00 109.10 90.00
Space group C2/c (No. 15)
Asymmetric unit:
Tc 0.005 0.012 0.146 (multiplicity 8)
Tc 0.209 0.191 0.632 (multiplicity 8)
Ag 0.018 0.423 0.904 (multiplicity 8)
Ag 0.195 0.352 0.117 (multiplicity 8)
Se 0.000 0.184 0.750 (multiplicity 4)
Se 0.000 0.211 0.250 (multiplicity 4)
Se 0.055 0.151 0.002 (multiplicity 8)
Se 0.205 0.489 0.786 (multiplicity 8)
Se 0.235 0.391 0.532 (multiplicity 8)

| no. | total energy (eV per atom) |
| --- | --- |
| 1 | -4.36 |
| 2 | -5.20 |
| 3 | -7.27 |
| 4 | -5.20 |
| 5 | -4.41 |
| 6 | -5.17 |
| 7 | -5.12 |
| 8 | -5.11 |
| 9 | -6.55 |
| 10 | -6.04 |
| 11 | -4.62 |
| 12 | -5.11 |